Entry 1:
NpTiRh4 | GGA-PBE | relaxed

Computed properties:
SG	No. 62
theoretical density	11.73	g/cm3
energy	-210.3	eV per cell
size of the total moment	10.38	μB/cell
density of states at the Fermi level	32.94	states/eV per cell

a b c (Å): 6.488 4.027 15.092
angles (deg): 90.00 90.00 90.00
Sites, in units of the cell vectors:
Np (0.159, 0.250, 0.213)
Np (0.341, 0.750, 0.713)
Np (0.659, 0.250, 0.287)
Np (0.841, 0.750, 0.787)
Ti (0.186, 0.750, 0.473)
Ti (0.314, 0.250, 0.973)
Ti (0.686, 0.750, 0.027)
Ti (0.814, 0.250, 0.527)
Rh (0.028, 0.750, 0.935)
Rh (0.065, 0.250, 0.377)
Rh (0.148, 0.250, 0.810)
Rh (0.219, 0.250, 0.584)
Rh (0.281, 0.750, 0.084)
Rh (0.352, 0.750, 0.310)
Rh (0.435, 0.750, 0.877)
Rh (0.472, 0.250, 0.435)
Rh (0.528, 0.750, 0.565)
Rh (0.565, 0.250, 0.123)
Rh (0.648, 0.250, 0.690)
Rh (0.719, 0.250, 0.916)
Rh (0.781, 0.750, 0.416)
Rh (0.852, 0.750, 0.190)
Rh (0.935, 0.750, 0.623)
Rh (0.972, 0.250, 0.065)

---

Entry 2:
Sb2Rh3 | GGA-PBE | relaxed

Computed properties:
SG	No. 43
theoretical density	10.27	g/cm3
ΔE_f (raw)	-1.19	eV per formula unit
size of the total moment	0.00	μB/cell
density of states at the Fermi level	6.71	states/eV per cell

a b c (Å): 6.666 6.342 8.513
angles (deg): 50.79 47.49 81.71
Sites, in units of the cell vectors:
Sb (0.123, 0.877, 0.280)
Sb (0.530, 0.970, 0.373)
Sb (0.877, 0.123, 0.720)
Sb (0.970, 0.530, 0.127)
Rh (0.049, 0.049, 0.951)
Rh (0.299, 0.299, 0.201)
Rh (0.444, 0.584, 0.322)
Rh (0.584, 0.444, 0.649)
Rh (0.601, 0.928, 0.666)
Rh (0.928, 0.601, 0.806)

---

Entry 3:
DyGa9Ni3 | GGA-PBE | relaxed

Computed properties:
SG	No. 12
theoretical density	7.93	g/cm3
energy	-53.5	eV per cell
size of the total moment	0.00	μB/cell
density of states at the Fermi level	3.68	states/eV per cell

a b c (Å): 6.777 6.777 6.639
angles (deg): 98.00 98.00 134.63
Sites, in units of the cell vectors:
Dy (0.000, 0.000, 0.000)
Ga (0.000, 0.000, 0.500)
Ga (0.009, 0.650, 0.665)
Ga (0.300, 0.520, 0.790)
Ga (0.350, 0.991, 0.335)
Ga (0.480, 0.700, 0.210)
Ga (0.520, 0.300, 0.790)
Ga (0.650, 0.009, 0.665)
Ga (0.700, 0.480, 0.210)
Ga (0.991, 0.350, 0.335)
Ni (0.000, 0.500, 0.000)
Ni (0.500, 0.000, 0.000)
Ni (0.500, 0.500, 0.500)

---

Entry 4:
Sr3GeIr | GGA-PBE | relaxed

Computed properties:
SG	No. 221
ΔE to the lowest computed polymorph	0.0	meV per atom
theoretical density	4.70	g/cm3
size of the total moment	1.00	μB/cell
density of states at the Fermi level	2.13	states/eV per cell

a b c (Å): 5.712 5.712 5.712
angles (deg): 90.00 90.00 90.00
Sites, in units of the cell vectors:
Sr (0.000, 0.000, 0.500)
Sr (0.000, 0.500, 0.000)
Sr (0.500, 0.000, 0.000)
Ge (0.500, 0.500, 0.500)
Ir (0.000, 0.000, 0.000)

---

Entry 5:
PrHo6Tm4 | GGA-PBE | relaxed

Computed properties:
SG	No. 63
ΔE to the lowest computed polymorph	0.0	meV per atom
theoretical density	8.67	g/cm3
size of the total moment	0.00	μB/cell
density of states at the Fermi level	38.34	states/eV per cell

a b c (Å): 5.579 5.579 25.542
angles (deg): 90.00 90.00 119.48
Sites, in units of the cell vectors:
Pr (0.176, 0.824, 0.750)
Pr (0.824, 0.176, 0.250)
Ho (0.157, 0.843, 0.180)
Ho (0.157, 0.843, 0.320)
Ho (0.176, 0.824, 0.601)
Ho (0.176, 0.824, 0.899)
Ho (0.490, 0.510, 0.250)
Ho (0.500, 0.500, 0.000)
Ho (0.500, 0.500, 0.500)
Ho (0.510, 0.490, 0.750)
Ho (0.824, 0.176, 0.101)
Ho (0.824, 0.176, 0.399)
Ho (0.843, 0.157, 0.680)
Ho (0.843, 0.157, 0.820)
Tm (0.163, 0.837, 0.042)
Tm (0.163, 0.837, 0.458)
Tm (0.489, 0.511, 0.121)
Tm (0.489, 0.511, 0.379)
Tm (0.511, 0.489, 0.621)
Tm (0.511, 0.489, 0.879)
Tm (0.837, 0.163, 0.542)
Tm (0.837, 0.163, 0.958)

---

Entry 6:
Pu2MnZn | GGA-PBE | relaxed

Computed properties:
SG	No. 123
ΔE to the lowest computed polymorph	22.7	meV per atom
theoretical density	12.76	g/cm3
size of the total moment	7.95	μB/cell
density of states at the Fermi level	7.70	states/eV per cell

a b c (Å): 4.312 4.312 4.256
angles (deg): 90.00 90.00 90.00
Sites, in units of the cell vectors:
Pu (0.000, 0.500, 0.000)
Pu (0.500, 0.000, 0.000)
Mn (0.000, 0.000, 0.500)
Zn (0.500, 0.500, 0.500)

---

- Which value of size of the total moment does entry 1 give?
  10.38 μB/cell

---

- What is the density of states at the Fermi level in the first record?
  32.94 states/eV per cell

---

- The lowest theoretical density belongs to which entry?
  Sr3GeIr

---

- size of the total moment of number 4 (Sr3GeIr)?
  1.00 μB/cell